[1]
This record from Alexandria describes MnAuCl3 after structural relaxation. The functional is GGA-PBE.

The calculation puts the electronic total energy at -3.47 eV per atom. For the total magnetization, the calculation gives 5.8 μB/cell. The calculation puts the raw formation energy at 11.94 kJ per mole of atoms. As for the symmetry: No. 221.

a = 5.087 Å, b = 5.087 Å, c = 5.087 Å
α = 90.00°, β = 90.00°, γ = 90.00°
Element x y z (fractional)
1 Mn 0.000 0.000 0.000
2 Au 0.500 0.500 0.500
3 Cl 0.000 0.500 0.500
4 Cl 0.500 0.000 0.500
5 Cl 0.500 0.500 0.000



[2]
This record from Alexandria describes ErLuFe4 after structural relaxation. The functional is GGA-PBE.

The calculation puts the electronic total energy at -7.30 eV per atom. For the total magnetization, the calculation gives 6.4 μB/cell. As for the symmetry: No. 216.

a = 5.072 Å, b = 5.072 Å, c = 5.072 Å
α = 60.00°, β = 60.00°, γ = 60.00°
Element x y z (fractional)
1 Er 0.000 0.000 0.000
2 Lu 0.250 0.250 0.250
3 Fe 0.125 0.625 0.625
4 Fe 0.625 0.125 0.625
5 Fe 0.625 0.625 0.125
6 Fe 0.625 0.625 0.625



[3]
This record from Alexandria describes Ac3Pm3Pr5 after structural relaxation. The functional is GGA-PBE.

The calculation puts the electronic total energy at -3.94 eV per atom. For the total magnetization, the calculation gives 0.0 μB/cell. As for the symmetry: No. 189.

a = 9.856 Å, b = 9.856 Å, c = 6.126 Å
α = 90.00°, β = 90.00°, γ = 120.00°
Element x y z (fractional)
1 Ac 0.000 0.431 0.000
2 Ac 0.431 0.000 0.000
3 Ac 0.569 0.569 0.000
4 Pm 0.000 0.268 0.500
5 Pm 0.268 0.000 0.500
6 Pm 0.732 0.732 0.500
7 Pr 0.000 0.635 0.500
8 Pr 0.333 0.667 0.500
9 Pr 0.365 0.365 0.500
10 Pr 0.635 0.000 0.500
11 Pr 0.667 0.333 0.500



[4]
This record from Alexandria describes Cd2MoIrPt after structural relaxation. The functional is GGA-PBE.

The calculation puts the electronic total energy at -4.26 eV per atom. For the total magnetization, the calculation gives 4.6 μB/cell. As for the symmetry: No. 123.

a = 5.105 Å, b = 5.105 Å, c = 4.845 Å
α = 90.00°, β = 90.00°, γ = 90.00°
Element x y z (fractional)
1 Cd 0.000 0.500 0.000
2 Cd 0.500 0.000 0.000
3 Mo 0.000 0.000 0.500
4 Ir 0.500 0.500 0.000
5 Pt 0.500 0.500 0.500



[5]
This record from Alexandria describes V5GaRh6 after structural relaxation. The functional is GGA-PBE.

The calculation puts the electronic total energy at -8.17 eV per atom. For the total magnetization, the calculation gives 0.1 μB/cell. As for the symmetry: No. 71.

a = 7.156 Å, b = 7.156 Å, c = 7.156 Å
α = 147.78°, β = 120.86°, γ = 68.96°
Element x y z (fractional)
1 V 0.000 0.000 0.000
2 V 0.146 0.646 0.500
3 V 0.313 0.313 0.000
4 V 0.687 0.687 0.000
5 V 0.854 0.354 0.500
6 Ga 0.500 0.000 0.500
7 Rh 0.094 0.831 0.263
8 Rh 0.272 0.500 0.772
9 Rh 0.431 0.169 0.263
10 Rh 0.569 0.831 0.737
11 Rh 0.728 0.500 0.228
12 Rh 0.906 0.169 0.737



[6]
This record from Alexandria describes InNiP2 after structural relaxation. The functional is GGA-PBE.

The calculation puts the electronic total energy at -4.66 eV per atom. For the total magnetization, the calculation gives 0.0 μB/cell. As for the symmetry: No. 71.

a = 5.713 Å, b = 5.713 Å, c = 5.713 Å
α = 149.95°, β = 133.29°, γ = 56.54°
Element x y z (fractional)
1 In 0.000 0.000 0.000
2 Ni 0.500 0.500 0.000
3 P 0.321 0.821 0.500
4 P 0.679 0.179 0.500



[7]
This record from Alexandria describes KYMn2 after structural relaxation. The functional is GGA-PBE.

The calculation puts the electronic total energy at -5.78 eV per atom. For the total magnetization, the calculation gives 1.3 μB/cell. As for the symmetry: No. 44.

a = 7.673 Å, b = 7.673 Å, c = 7.673 Å
α = 154.50°, β = 142.78°, γ = 45.66°
Element x y z (fractional)
1 K 0.000 0.000 0.000
2 Y 0.723 0.223 0.500
3 Mn 0.239 0.739 0.500
4 Mn 0.352 0.352 0.000



[8]
This record from Alexandria describes Cs2LiCa4 after structural relaxation. The functional is GGA-PBE.

The calculation puts the electronic total energy at -1.35 eV per atom. For the total magnetization, the calculation gives 0.0 μB/cell. As for the symmetry: No. 139.

a = 11.792 Å, b = 11.792 Å, c = 11.792 Å
α = 149.63°, β = 149.63°, γ = 43.49°
Element x y z (fractional)
1 Cs 0.160 0.160 0.000
2 Cs 0.840 0.840 0.000
3 Li 0.500 0.500 0.000
4 Ca 0.000 0.500 0.500
5 Ca 0.367 0.367 0.000
6 Ca 0.500 0.000 0.500
7 Ca 0.633 0.633 0.000



[9]
This record from Alexandria describes Sc2ZnGa5 after structural relaxation. The functional is GGA-PBE.

The calculation puts the electronic total energy at -4.13 eV per atom. For the total magnetization, the calculation gives 0.0 μB/cell. As for the symmetry: No. 55.

a = 5.771 Å, b = 11.570 Å, c = 4.096 Å
α = 90.00°, β = 90.00°, γ = 90.00°
Element x y z (fractional)
1 Sc 0.241 0.128 0.000
2 Sc 0.259 0.628 0.000
3 Sc 0.741 0.372 0.000
4 Sc 0.759 0.872 0.000
5 Zn 0.000 0.500 0.500
6 Zn 0.500 0.000 0.500
7 Ga 0.000 0.000 0.500
8 Ga 0.005 0.747 0.500
9 Ga 0.239 0.379 0.000
10 Ga 0.261 0.879 0.000
11 Ga 0.495 0.247 0.500
12 Ga 0.500 0.500 0.500
13 Ga 0.505 0.753 0.500
14 Ga 0.739 0.121 0.000
15 Ga 0.761 0.621 0.000
16 Ga 0.995 0.253 0.500



[10]
This record from Alexandria describes Hf3ZnF6 after structural relaxation. The functional is GGA-PBE.

The calculation puts the electronic total energy at -6.59 eV per atom. For the total magnetization, the calculation gives 0.0 μB/cell. The calculation puts the raw formation energy at -227.08 kJ per mole of atoms. As for the symmetry: No. 2.

a = 5.477 Å, b = 6.050 Å, c = 6.316 Å
α = 64.79°, β = 64.36°, γ = 75.60°
Element x y z (fractional)
1 Hf 0.000 0.000 0.000
2 Hf 0.000 0.500 0.500
3 Hf 0.500 0.000 0.500
4 Zn 0.000 0.000 0.500
5 F 0.106 0.362 0.824
6 F 0.281 0.776 0.156
7 F 0.423 0.370 0.383
8 F 0.577 0.630 0.617
9 F 0.719 0.224 0.844
10 F 0.894 0.638 0.176



[11]
This record from Alexandria describes AlW2Au after structural relaxation. The functional is GGA-PBE.

The calculation puts the electronic total energy at -7.92 eV per atom. For the total magnetization, the calculation gives 0.0 μB/cell. As for the symmetry: No. 216.

a = 4.514 Å, b = 4.514 Å, c = 4.514 Å
α = 60.00°, β = 60.00°, γ = 60.00°
Element x y z (fractional)
1 Al 0.000 0.000 0.000
2 W 0.250 0.250 0.250
3 W 0.500 0.500 0.500
4 Au 0.750 0.750 0.750



[12]
This record from Alexandria describes LaCdSe4 after structural relaxation. The functional is GGA-PBE.

The calculation puts the electronic total energy at -3.63 eV per atom. For the total magnetization, the calculation gives 0.0 μB/cell. The calculation puts the raw formation energy at -31.85 kJ per mole of atoms. As for the symmetry: No. 216.

a = 5.898 Å, b = 5.898 Å, c = 5.898 Å
α = 60.00°, β = 60.00°, γ = 60.00°
Element x y z (fractional)
1 La 0.000 0.000 0.000
2 Cd 0.250 0.250 0.250
3 Se 0.126 0.625 0.625
4 Se 0.625 0.126 0.625
5 Se 0.625 0.625 0.126
6 Se 0.625 0.625 0.625



[13]
This record from Alexandria describes CsTmAgBr6 after structural relaxation. The functional is GGA-PBE.

The calculation puts the electronic total energy at -3.32 eV per atom. For the total magnetization, the calculation gives 0.9 μB/cell. The calculation puts the raw formation energy at -125.53 kJ per mole of atoms. As for the symmetry: No. 1.

a = 7.126 Å, b = 7.128 Å, c = 8.119 Å
α = 92.41°, β = 92.45°, γ = 115.17°
Element x y z (fractional)
1 Cs 0.000 0.000 0.000
2 Tm 0.341 0.658 0.500
3 Ag 0.687 0.314 0.499
4 Br 0.030 0.354 0.670
5 Br 0.040 0.614 0.269
6 Br 0.385 0.960 0.731
7 Br 0.416 0.368 0.296
8 Br 0.633 0.584 0.703
9 Br 0.645 0.970 0.329



[14]
This record from Alexandria describes AsBr2O after structural relaxation. The functional is GGA-PBE.

The calculation puts the electronic total energy at -2.50 eV per atom. For the total magnetization, the calculation gives 2.3 μB/cell. The calculation puts the raw formation energy at 70.80 kJ per mole of atoms. As for the symmetry: No. 166.

a = 8.723 Å, b = 8.723 Å, c = 8.723 Å
α = 23.39°, β = 23.39°, γ = 23.39°
Element x y z (fractional)
1 As 0.000 0.000 0.000
2 Br 0.098 0.098 0.098
3 Br 0.902 0.902 0.902
4 O 0.500 0.500 0.500



[15]
This record from Alexandria describes Mg2MnSi after structural relaxation. The functional is GGA-PBE.

The calculation puts the electronic total energy at -4.29 eV per atom. For the total magnetization, the calculation gives 3.2 μB/cell. The calculation puts the raw formation energy at 15.08 kJ per mole of atoms. As for the symmetry: No. 10.

a = 3.072 Å, b = 3.958 Å, c = 5.557 Å
α = 90.00°, β = 90.18°, γ = 90.00°
Element x y z (fractional)
1 Mg 0.002 0.000 0.248
2 Mg 0.998 0.000 0.752
3 Mn 0.500 0.500 0.000
4 Si 0.500 0.500 0.500



[16]
This record from Alexandria describes LaPrSmDy3 after structural relaxation. The functional is GGA-PBE.

The calculation puts the electronic total energy at -4.53 eV per atom. For the total magnetization, the calculation gives 0.0 μB/cell. As for the symmetry: No. 12.

a = 10.492 Å, b = 10.492 Å, c = 7.087 Å
α = 90.14°, β = 90.14°, γ = 31.36°
Element x y z (fractional)
1 La 0.147 0.147 0.039
2 La 0.853 0.853 0.961
3 Pr 0.445 0.445 0.740
4 Pr 0.555 0.555 0.260
5 Sm 0.149 0.149 0.466
6 Sm 0.851 0.851 0.534
7 Dy 0.024 0.024 0.746
8 Dy 0.279 0.279 0.752
9 Dy 0.335 0.335 0.258
10 Dy 0.665 0.665 0.742
11 Dy 0.721 0.721 0.248
12 Dy 0.976 0.976 0.254



[17]
This record from Alexandria describes SrLiRe2 after structural relaxation. The functional is GGA-PBE.

The calculation puts the electronic total energy at -5.92 eV per atom. For the total magnetization, the calculation gives 0.0 μB/cell. As for the symmetry: No. 122.

a = 10.165 Å, b = 10.165 Å, c = 10.165 Å
α = 154.69°, β = 154.69°, γ = 36.10°
Element x y z (fractional)
1 Sr 0.000 0.000 0.000
2 Sr 0.750 0.250 0.500
3 Li 0.250 0.750 0.500
4 Li 0.500 0.500 0.000
5 Re 0.290 0.625 0.165
6 Re 0.375 0.540 0.665
7 Re 0.460 0.125 0.835
8 Re 0.875 0.710 0.335



[18]
This record from Alexandria describes Zr2ScFe after structural relaxation. The functional is GGA-PBE.

The calculation puts the electronic total energy at -7.73 eV per atom. For the total magnetization, the calculation gives 1.0 μB/cell. As for the symmetry: No. 12.

a = 5.635 Å, b = 5.635 Å, c = 3.040 Å
α = 100.63°, β = 100.63°, γ = 118.35°
Element x y z (fractional)
1 Zr 0.000 0.500 0.000
2 Zr 0.500 0.000 0.000
3 Sc 0.000 0.000 0.500
4 Fe 0.500 0.500 0.500



[19]
This record from Alexandria describes VPd6Pt3 after structural relaxation. The functional is GGA-PBE.

The calculation puts the electronic total energy at -5.90 eV per atom. For the total magnetization, the calculation gives 0.0 μB/cell. As for the symmetry: No. 148.

a = 6.827 Å, b = 6.827 Å, c = 6.827 Å
α = 90.02°, β = 90.02°, γ = 90.02°
Element x y z (fractional)
1 V 0.000 0.000 0.000
2 V 0.500 0.500 0.500
3 Pd 0.010 0.335 0.899
4 Pd 0.101 0.990 0.665
5 Pd 0.123 0.350 0.447
6 Pd 0.335 0.899 0.010
7 Pd 0.350 0.447 0.123
8 Pd 0.447 0.123 0.350
9 Pd 0.553 0.877 0.650
10 Pd 0.650 0.553 0.877
11 Pd 0.665 0.101 0.990
12 Pd 0.877 0.650 0.553
13 Pd 0.899 0.010 0.335
14 Pd 0.990 0.665 0.101
15 Pt 0.242 0.623 0.750
16 Pt 0.250 0.758 0.377
17 Pt 0.377 0.250 0.758
18 Pt 0.623 0.750 0.242
19 Pt 0.750 0.242 0.623
20 Pt 0.758 0.377 0.250



[20]
This record from Alexandria describes LaSc2Ir after structural relaxation. The functional is GGA-PBE.

The calculation puts the electronic total energy at -7.03 eV per atom. For the total magnetization, the calculation gives 0.0 μB/cell. As for the symmetry: No. 71.

a = 6.343 Å, b = 6.343 Å, c = 6.343 Å
α = 149.36°, β = 131.18°, γ = 58.75°
Element x y z (fractional)
1 La 0.000 0.000 0.000
2 Sc 0.303 0.803 0.500
3 Sc 0.697 0.197 0.500
4 Ir 0.500 0.500 0.000